(1)
# MnTl2P

A relaxed structure of MnTl2P (GGA-PBE, the Alexandria database).

Energy of formation from the pure elements: 5.3 kJ/mol of atoms
Total moment: 3.35 μB/cell
Mass density: 8.72 g/cm³
Density of states at the Fermi level: 2.1 states/eV/cell
Crystal system: orthorhombic

Lattice parameters (Å, degrees): 8.6363 8.6363 8.6363 157.84 157.16 32.04
With the nearest neighbours (Å) after each atom.
Element x y z (fractional)
Tl 0.1662 0.1662 0.0000  2 Mn 3.22, 2 P 3.25, 4 Tl 3.32-3.42
Tl 0.8338 0.8338 0.0000  2 Mn 3.22, 2 P 3.25, 4 Tl 3.32-3.42
P 0.5000 0.0000 0.5000  4 Mn 2.38
Mn 0.0000 0.5000 0.5000  4 P 2.38



(2)
# LuNi4Ag

A relaxed structure of LuNi4Ag (GGA-PBE, the Alexandria database).

Energy of formation from the pure elements: -30.3 kJ/mol of atoms
Total moment: 1.11 μB/cell
Mass density: 10.32 g/cm³
Density of states at the Fermi level: 7.3 states/eV/cell
Crystal system: cubic

Lattice parameters (Å, degrees): 4.9014 4.9014 4.9014 60.00 60.00 60.00
With the nearest neighbours (Å) after each atom.
Element x y z (fractional)
Ni 0.6253 0.6253 0.1241  6 Ni 2.44-2.46
Ni 0.6253 0.6253 0.6253  6 Ni 2.44-2.46
Ni 0.1241 0.6253 0.6253  6 Ni 2.44-2.46
Ni 0.6253 0.1241 0.6253  6 Ni 2.44-2.46
Ag 0.0000 0.0000 0.0000  12 Ni 2.87, 4 Lu 3.00
Lu 0.2500 0.2500 0.2500  12 Ni 2.87, 4 Ag 3.00



(3)
# KSbIBr2

A relaxed structure of KSbIBr2 (GGA-PBE, the Alexandria database).

E_form (uncorrected): -0.806 eV/atom
Total moment: 0.00 μB/cell
Mass density: 3.60 g/cm³
Density of states at the Fermi level: 0.2 states/eV/cell
Crystal system: tetragonal

Lattice parameters (Å, degrees): 5.7848 5.7848 6.1658 90.00 90.00 90.00
With the nearest neighbours (Å) after each atom.
Element x y z (fractional)
Br 0.5000 0.0000 0.0000  2 Sb 2.89
Br 0.0000 0.5000 0.0000  2 Sb 2.89
Sb 0.0000 0.0000 0.0000  4 Br 2.89, 2 I 3.08
I 0.0000 0.0000 0.5000  2 Sb 3.08
K 0.5000 0.5000 0.5000  4 I 4.09, 8 Br 4.23



(4)
# PrHo6Te8

A relaxed structure of PrHo6Te8 (GGA-PBE, the Alexandria database).

E_form (uncorrected): -1.209 eV/atom
Total moment: 0.00 μB/cell
Mass density: 7.75 g/cm³
Density of states at the Fermi level: 9.1 states/eV/cell
Crystal system: trigonal

Lattice parameters (Å, degrees): 8.1678 8.1678 8.1678 69.41 69.41 69.41
With the nearest neighbours (Å) after each atom.
Element x y z (fractional)
Te 0.3753 0.1024 0.8063  5 Ho 3.07-3.28, 1 Pr 3.17
Te 0.3247 0.3247 0.3247  6 Ho 3.18-3.27
Te 0.8976 0.1937 0.6247  5 Ho 3.07-3.28, 1 Pr 3.17
Te 0.6247 0.8976 0.1937  5 Ho 3.07-3.28, 1 Pr 3.17
Te 0.8063 0.3753 0.1024  5 Ho 3.07-3.28, 1 Pr 3.17
Te 0.1024 0.8063 0.3753  5 Ho 3.07-3.28, 1 Pr 3.17
Te 0.1937 0.6247 0.8976  5 Ho 3.07-3.28, 1 Pr 3.17
Te 0.6753 0.6753 0.6753  6 Ho 3.18-3.27
Ho 0.3061 0.9227 0.5495  7 Te 3.07-3.28
Ho 0.0773 0.4505 0.6939  7 Te 3.07-3.28
Ho 0.9227 0.5495 0.3061  7 Te 3.07-3.28
Ho 0.5495 0.3061 0.9227  7 Te 3.07-3.28
Ho 0.4505 0.6939 0.0773  7 Te 3.07-3.28
Ho 0.6939 0.0773 0.4505  7 Te 3.07-3.28
Pr 0.0000 0.0000 0.0000  6 Te 3.17